Model i:
## KMgHg2Au (PBE-GGA)

Data for a geometry-optimized KMgHg2Au structure.

abc: 5.535 5.535 5.254
angles: 90.00 90.00 90.00
Fractional positions:
K 0.000 0.000 0.000
Mg 0.500 0.500 0.500
Hg 0.000 0.500 0.500
Hg 0.500 0.000 0.500
Au 0.500 0.500 0.000

Symmetry: P4/mmm, No. 123
Total magnetic moment (Bohr magnetons per cell): 0.000
Calculated density (g cm⁻³): 6.82

=====

Model ii:
## KMgHg2Au (PBE-GGA)

Data for a geometry-optimized KMgHg2Au structure.

abc: 5.470 5.470 5.192
angles: 90.00 90.00 90.00
Fractional positions:
K 0.000 0.000 0.000
Mg 0.500 0.500 0.000
Hg 0.000 0.500 0.500
Hg 0.500 0.000 0.500
Au 0.500 0.500 0.500

Symmetry: P4/mmm, No. 123
Total magnetic moment (Bohr magnetons per cell): 0.000
Calculated density (g cm⁻³): 7.07

=====

Top of the stability list: model ii, leading by 1.1 kJ/mol of atoms.

=====

Model i:
## KNaHg2Au (PBE-GGA)

Data for a geometry-optimized KNaHg2Au structure.

abc: 5.482 5.482 6.040
angles: 90.00 90.00 90.00
Fractional positions:
K 0.000 0.000 0.000
Na 0.500 0.500 0.000
Hg 0.000 0.500 0.500
Hg 0.500 0.000 0.500
Au 0.000 0.000 0.500

Symmetry: P4/mmm, No. 123
Total magnetic moment (Bohr magnetons per cell): 0.000
Calculated density (g cm⁻³): 6.04

=====

Model ii:
## KNaHg2Au (PBE-GGA)

Data for a geometry-optimized KNaHg2Au structure.

abc: 5.462 5.462 5.572
angles: 90.00 90.00 90.00
Fractional positions:
K 0.000 0.000 0.000
Na 0.500 0.500 0.000
Hg 0.000 0.500 0.500
Hg 0.500 0.000 0.500
Au 0.500 0.500 0.500

Symmetry: P4/mmm, No. 123
Total magnetic moment (Bohr magnetons per cell): 0.000
Calculated density (g cm⁻³): 6.59

=====

Top of the stability list: model ii, leading by 10.1 kJ/mol of atoms.

=====

Model i:
## KHgPbAu (PBE-GGA)

Data for a geometry-optimized KHgPbAu structure.

abc: 5.380 5.380 5.380
angles: 60.00 60.00 60.00
Fractional positions:
K 0.000 0.000 0.000
Hg 0.250 0.250 0.250
Pb 0.500 0.500 0.500
Au 0.750 0.750 0.750

Symmetry: F-43m, No. 216
Total magnetic moment (Bohr magnetons per cell): 0.000
Calculated density (g cm⁻³): 9.71

=====

Model ii:
## KHgPbAu (PBE-GGA)

Data for a geometry-optimized KHgPbAu structure.

abc: 6.384 6.384 6.384
angles: 46.94 46.94 46.94
Fractional positions:
K 0.000 0.000 0.000
Hg 0.784 0.784 0.784
Pb 0.518 0.518 0.518
Au 0.206 0.206 0.206

Symmetry: R3m, No. 160
Total magnetic moment (Bohr magnetons per cell): 0.000
Calculated density (g cm⁻³): 8.42

=====

Top of the stability list: model ii, leading by 4.7 kJ/mol of atoms.

=====

Model i:
## KRbHg2Au (PBE-GGA)

Data for a geometry-optimized KRbHg2Au structure.

abc: 5.565 5.565 6.262
angles: 90.00 90.00 90.00
Fractional positions:
K 0.000 0.000 0.000
Rb 0.500 0.500 0.000
Hg 0.000 0.500 0.500
Hg 0.500 0.000 0.500
Au 0.500 0.500 0.500

Symmetry: P4/mmm, No. 123
Total magnetic moment (Bohr magnetons per cell): 0.000
Calculated density (g cm⁻³): 6.19

=====

Model ii:
## KRbHg2Au (PBE-GGA)

Data for a geometry-optimized KRbHg2Au structure.

abc: 8.821 8.821 8.821
angles: 149.22 147.40 45.45
Fractional positions:
K 0.000 0.000 0.000
Rb 0.735 0.235 0.500
Hg 0.338 0.838 0.500
Hg 0.555 0.555 0.000
Au 0.157 0.657 0.500

Symmetry: Imm2, No. 44
Total magnetic moment (Bohr magnetons per cell): 0.000
Calculated density (g cm⁻³): 6.36

=====

Top of the stability list: model ii, leading by 13.8 kJ/mol of atoms.

=====

Model i:
## KRbHgAu (PBE-GGA)

Data for a geometry-optimized KRbHgAu structure.

abc: 4.904 6.794 6.794
angles: 43.33 90.00 90.00
Fractional positions:
K 0.000 0.000 0.000
Rb 0.500 0.284 0.284
Hg 0.500 0.574 0.574
Au 0.000 0.703 0.703

Symmetry: Amm2, No. 38
Total magnetic moment (Bohr magnetons per cell): 0.000
Calculated density (g cm⁻³): 5.58

=====

Model ii:
## KRbHgAu (PBE-GGA)

Data for a geometry-optimized KRbHgAu structure.

abc: 5.929 5.929 5.929
angles: 60.00 60.00 60.00
Fractional positions:
K 0.000 0.000 0.000
Rb 0.500 0.500 0.500
Hg 0.250 0.250 0.250
Au 0.750 0.750 0.750

Symmetry: F-43m, No. 216
Total magnetic moment (Bohr magnetons per cell): 0.000
Calculated density (g cm⁻³): 5.88

=====

Top of the stability list: model i, leading by 5.9 kJ/mol of atoms.

=====

Model i:
## KSnHgAu2 (PBE-GGA)

Data for a geometry-optimized KSnHgAu2 structure.

abc: 5.447 5.447 5.567
angles: 90.00 90.00 90.00
Fractional positions:
K 0.000 0.000 0.000
Sn 0.500 0.500 0.500
Hg 0.500 0.500 0.000
Au 0.000 0.500 0.500
Au 0.500 0.000 0.500

Symmetry: P4/mmm, No. 123
Total magnetic moment (Bohr magnetons per cell): 0.000
Calculated density (g cm⁻³): 7.56

=====

Model ii:
## KSnHgAu2 (PBE-GGA)

Data for a geometry-optimized KSnHgAu2 structure.

abc: 7.212 7.212 7.212
angles: 145.63 140.95 52.99
Fractional positions:
K 0.000 0.000 0.000
Sn 0.260 0.760 0.500
Hg 0.613 0.613 0.000
Au 0.398 0.398 0.000
Au 0.772 0.272 0.500

Symmetry: Imm2, No. 44
Total magnetic moment (Bohr magnetons per cell): 0.000
Calculated density (g cm⁻³): 9.42

=====

Top of the stability list: model ii, leading by 8.7 kJ/mol of atoms.

=====

Model i:
## KTlHg2Au (PBE-GGA)

Data for a geometry-optimized KTlHg2Au structure.

abc: 5.482 5.482 5.645
angles: 90.00 90.00 90.00
Fractional positions:
K 0.000 0.000 0.000
Tl 0.500 0.500 0.000
Hg 0.000 0.500 0.500
Hg 0.500 0.000 0.500
Au 0.500 0.500 0.500

Symmetry: P4/mmm, No. 123
Total magnetic moment (Bohr magnetons per cell): 0.000
Calculated density (g cm⁻³): 8.24

=====

Model ii:
## KTlHg2Au (PBE-GGA)

Data for a geometry-optimized KTlHg2Au structure.

abc: 5.428 5.428 6.046
angles: 90.00 90.00 90.00
Fractional positions:
K 0.000 0.000 0.000
Tl 0.500 0.500 0.000
Hg 0.000 0.500 0.500
Hg 0.500 0.000 0.500
Au 0.000 0.000 0.500

Symmetry: P4/mmm, No. 123
Total magnetic moment (Bohr magnetons per cell): 0.000
Calculated density (g cm⁻³): 7.85

=====

Model iii:
## KTlHg2Au (PBE-GGA)

Data for a geometry-optimized KTlHg2Au structure.

abc: 7.302 7.302 7.302
angles: 141.80 140.70 55.96
Fractional positions:
K 0.000 0.000 0.000
Tl 0.262 0.762 0.500
Hg 0.611 0.611 0.000
Hg 0.768 0.268 0.500
Au 0.394 0.394 0.000

Symmetry: Imm2, No. 44
Total magnetic moment (Bohr magnetons per cell): 0.000
Calculated density (g cm⁻³): 9.24

=====

Top of the stability list: model iii, leading by 10.1 kJ/mol of atoms.

=====

Model i:
## KTlHgAu (PBE-GGA)

Data for a geometry-optimized KTlHgAu structure.

abc: 5.460 5.460 5.460
angles: 60.00 60.00 60.00
Fractional positions:
K 0.000 0.000 0.000
Tl 0.500 0.500 0.500
Hg 0.250 0.250 0.250
Au 0.750 0.750 0.750

Symmetry: F-43m, No. 216
Total magnetic moment (Bohr magnetons per cell): 0.000
Calculated density (g cm⁻³): 9.25

=====

Model ii:
## KTlHgAu (PBE-GGA)

Data for a geometry-optimized KTlHgAu structure.

abc: 5.137 5.137 6.202
angles: 114.54 114.54 59.94
Fractional positions:
K 0.000 0.000 0.000
Tl 0.462 0.462 0.387
Hg 0.214 0.214 0.644
Au 0.797 0.797 0.392

Symmetry: Cm, No. 8
Total magnetic moment (Bohr magnetons per cell): 0.000
Calculated density (g cm⁻³): 8.56

=====

Top of the stability list: model ii, leading by 1.6 kJ/mol of atoms.